(1)
A plane-wave DFT calculation with GGA-PBE was carried out for a relaxed structure of TiZnCrMo.

Cell lengths 6.138, 6.138, 6.138 Å; angles 90.00, 90.00, 90.00 degrees
Space group F-43m (No. 216)
Unique sites:
Ti: 0.000 0.000 0.000
Zn: 0.250 0.250 0.250
Cr: 0.000 0.000 0.500
Mo: 0.250 0.250 0.750

## Properties
As for the calculated density: 7.50 g/cm3. As for the total energy: -7.376 eV/atom. The value obtained for the energy of formation is 0.0296 eV/atom.


(2)
A plane-wave DFT calculation with GGA-PBE was carried out for a relaxed structure of ZrTiCrMo.

Cell lengths 6.482, 6.482, 6.482 Å; angles 90.00, 90.00, 90.00 degrees
Space group F-43m (No. 216)
Unique sites:
Zr: 0.000 0.000 0.000
Ti: 0.000 0.000 0.500
Cr: 0.250 0.250 0.750
Mo: 0.250 0.250 0.250

## Properties
As for the calculated density: 7.00 g/cm3. As for the total energy: -9.131 eV/atom. The value obtained for the energy of formation is 0.0929 eV/atom.


(3)
A plane-wave DFT calculation with GGA-PBE was carried out for a relaxed structure of TlCrMo3.

Cell lengths 4.546, 4.546, 4.546 Å; angles 90.00, 90.00, 90.00 degrees
Space group Pm-3m (No. 221)
Unique sites:
Tl: 0.000 0.000 0.000
Cr: 0.500 0.500 0.500
Mo: 0.000 0.500 0.500

## Properties
As for the calculated density: 9.62 g/cm3. As for the energy above the most stable polymorph in this dataset: 0.0 meV per atom. As for the total energy: -7.718 eV/atom. The value obtained for the energy of formation is 1.1782 eV/atom.


(4)
A plane-wave DFT calculation with GGA-PBE was carried out for a relaxed structure of TlCrMo2.

Cell lengths 3.192, 4.713, 8.931 Å; angles 90.00, 90.00, 90.00 degrees
Space group Cmmm (No. 65)
Unique sites:
Tl: 0.000 0.000 0.000
Cr: 0.000 0.000 0.500
Mo: 0.000 0.500 0.284

## Properties
As for the calculated density: 11.08 g/cm3. As for the energy above the most stable polymorph in this dataset: 86.6 meV per atom. As for the total energy: -7.867 eV/atom. The value obtained for the energy of formation is 0.5463 eV/atom.


(5)
A plane-wave DFT calculation with GGA-PBE was carried out for a relaxed structure of TlCr2Mo.

Cell lengths 9.513, 3.300, 4.537 Å; angles 90.00, 118.36, 90.00 degrees
Space group C2/m (No. 12)
Unique sites:
Tl: 0.000 0.000 0.000
Cr: 0.231 0.000 0.731
Mo: 0.000 0.500 0.500

## Properties
As for the calculated density: 10.71 g/cm3. As for the energy above the most stable polymorph in this dataset: 176.7 meV per atom. As for the total energy: -7.429 eV/atom. The value obtained for the energy of formation is 0.6824 eV/atom.


(6)
A plane-wave DFT calculation with GGA-PBE was carried out for a relaxed structure of TlCrMo2.

Cell lengths 3.225, 4.469, 9.081 Å; angles 90.00, 90.00, 90.00 degrees
Space group Immm (No. 71)
Unique sites:
Tl: 0.000 0.000 0.000
Cr: 0.000 0.000 0.500
Mo: 0.000 0.500 0.231

## Properties
As for the calculated density: 11.37 g/cm3. As for the energy above the most stable polymorph in this dataset: 70.3 meV per atom. As for the total energy: -7.883 eV/atom. The value obtained for the energy of formation is 0.5300 eV/atom.


(7)
A plane-wave DFT calculation with GGA-PBE was carried out for a relaxed structure of TlCrMo2.

Cell lengths 5.472, 9.095, 2.832 Å; angles 90.00, 107.20, 90.00 degrees
Space group C2/m (No. 12)
Unique sites:
Tl: 0.000 0.000 0.000
Cr: 0.000 0.500 0.000
Mo: 0.250 0.250 0.500

## Properties
As for the calculated density: 11.06 g/cm3. As for the energy above the most stable polymorph in this dataset: 245.3 meV per atom. As for the total energy: -7.708 eV/atom. The value obtained for the energy of formation is 0.7050 eV/atom.


(8)
A plane-wave DFT calculation with GGA-PBE was carried out for a relaxed structure of TlCr2Mo.

Cell lengths 6.309, 6.309, 6.309 Å; angles 90.00, 90.00, 90.00 degrees
Space group Fm-3m (No. 225)
Unique sites:
Tl: 0.000 0.000 0.000
Cr: 0.250 0.250 0.250
Mo: 0.000 0.000 0.500

## Properties
As for the calculated density: 10.69 g/cm3. As for the energy above the most stable polymorph in this dataset: 70.8 meV per atom. As for the total energy: -7.535 eV/atom. The value obtained for the energy of formation is 0.5765 eV/atom.


(9)
A plane-wave DFT calculation with GGA-PBE was carried out for a relaxed structure of TlCrMo2.

Cell lengths 3.277, 3.277, 6.280 Å; angles 90.00, 90.00, 90.00 degrees
Space group P4/mmm (No. 123)
Unique sites:
Tl: 0.000 0.000 0.000
Cr: 0.000 0.000 0.500
Mo: 0.500 0.500 0.304

## Properties
As for the calculated density: 11.03 g/cm3. As for the energy above the most stable polymorph in this dataset: 52.1 meV per atom. As for the total energy: -7.901 eV/atom. The value obtained for the energy of formation is 0.5119 eV/atom.


(10)
A plane-wave DFT calculation with GGA-PBE was carried out for a relaxed structure of TlCr2Mo.

Cell lengths 3.108, 4.436, 8.929 Å; angles 90.00, 90.00, 90.00 degrees
Space group Imm2 (No. 44)
Unique sites:
Tl: 0.000 0.000 0.000
Cr: 0.000 0.000 0.472
Cr: 0.000 0.500 0.764
Mo: 0.000 0.500 0.223

## Properties
As for the calculated density: 10.91 g/cm3. As for the energy above the most stable polymorph in this dataset: 96.2 meV per atom. As for the total energy: -7.509 eV/atom. The value obtained for the energy of formation is 0.6019 eV/atom.


(11)
A plane-wave DFT calculation with GGA-PBE was carried out for a relaxed structure of TlCrMo2.

Cell lengths 3.201, 4.723, 8.923 Å; angles 90.00, 90.00, 90.00 degrees
Space group Cmm2 (No. 35)
Unique sites:
Tl: 0.000 0.000 0.000
Cr: 0.000 0.500 0.735
Mo: 0.000 0.000 0.522
Mo: 0.000 0.500 0.283

## Properties
As for the calculated density: 11.04 g/cm3. As for the energy above the most stable polymorph in this dataset: 82.4 meV per atom. As for the total energy: -7.871 eV/atom. The value obtained for the energy of formation is 0.5421 eV/atom.


(12)
A plane-wave DFT calculation with GGA-PBE was carried out for a relaxed structure of TlCrMo.

Cell lengths 3.128, 5.024, 13.660 Å; angles 90.00, 90.00, 90.00 degrees
Space group Fmm2 (No. 42)
Unique sites:
Tl: 0.000 0.000 0.000
Cr: 0.000 0.000 0.680
Mo: 0.000 0.000 0.308

## Properties
As for the calculated density: 10.90 g/cm3. As for the energy above the most stable polymorph in this dataset: 100.4 meV per atom. As for the total energy: -6.959 eV/atom. The value obtained for the energy of formation is 0.6478 eV/atom.